VASP calculation (PBE) on a relaxed Ba2MgCd6Pd crystal.

- Final energy: -114.0 eV for the cell shown
- Magnetic moment: 0.0 Bohr magnetons per cell
- ΔH_f (0 K): -0.29 eV per atom

Unit cell a=7.2862 b=7.2862 c=37.7854 alpha=90.00 beta=90.00 gamma=120.00
Space group R-3m (No. 166, hexagonal axes)
Symmetry-distinct sites (fractional):
Ba (0.0000, 0.0000, 0.1081) x6
Ba (0.0000, 0.0000, 0.2804) x6
Mg (0.0000, 0.0000, 0.4280) x6
Cd (0.0495, 0.5247, 0.3014) x18
Cd (0.0632, 0.5316, 0.8620) x18
Pd (0.0000, 0.0000, 0.0000) x3
Pd (0.0000, 0.0000, 0.5000) x3

---

VASP calculation (PBE) on a relaxed Pa2SeS4 crystal.

- Final energy: -196.4 eV for the cell shown
- Energy above the most stable polymorph in this dataset: 0.000 eV/atom
- Energy relative to the elements, uncorrected: -1444 meV per atom
- Magnetic moment: 0.0 Bohr magnetons per cell

Unit cell a=7.8399 b=13.4787 c=6.9035 alpha=90.00 beta=90.00 gamma=90.00
Space group Ima2 (No. 46)
Symmetry-distinct sites (fractional):
Pa (0.0000, 0.0000, 0.0000) x4
Pa (0.2500, 0.1958, 0.5837) x4
Se (0.2500, 0.6101, 0.6883) x4
S (0.0228, 0.2008, 0.8678) x8
S (0.2500, 0.0031, 0.7226) x4
S (0.2500, 0.1083, 0.2280) x4

---

VASP calculation (PBE) on a relaxed ThPa2Rh3 crystal.

- Final energy: -850.1 eV for the cell shown
- Magnetic moment: 0.0 Bohr magnetons per cell
- ΔH_f (0 K): -0.78 eV per atom

Unit cell a=8.0409 b=11.3898 c=24.1898 alpha=90.00 beta=90.00 gamma=90.00
Space group Fddd (No. 70, origin choice 2)
Symmetry-distinct sites (fractional):
Th (0.1250, 0.1250, 0.0418) x16
Pa (0.1250, 0.1250, 0.3743) x16
Pa (0.1250, 0.1250, 0.5415) x16
Rh (0.1143, 0.3750, 0.8750) x16
Rh (0.1192, 0.3686, 0.7059) x32

---

VASP calculation (PBE) on a relaxed KSBr3 crystal.

- Final energy: -12.9 eV for the cell shown
- Energy above the most stable polymorph in this dataset: 0.000 eV/atom
- Energy relative to the elements, uncorrected: -536 meV per atom
- Magnetic moment: 0.9 Bohr magnetons per cell

Unit cell a=5.3358 b=5.3358 c=5.3358 alpha=90.00 beta=90.00 gamma=90.00
Space group Pm-3m (No. 221)
Symmetry-distinct sites (fractional):
K (0.0000, 0.0000, 0.0000) x1
S (0.5000, 0.5000, 0.5000) x1
Br (0.0000, 0.5000, 0.5000) x3